The following is a GGA+U calculation of a relaxed structure of Sr2ZnCoS2O2, from the Open Quantum Materials Database.

Computed properties:
- total moment (μB per formula unit) = 3.000
- electronic total energy (eV per atom) = -5.218

Lattice parameters (Å, degrees): 3.9166 3.9166 11.5706 90.00 90.00 120.00
Closest atoms and distances in Å follow each position.
Space group P3m1 (No. 156)
Inequivalent atoms, fractional coordinates:
Sr: 0.0000 0.0000 0.0000  3 O 2.40
Sr: 0.3333 0.6667 0.4944  3 O 2.41
Zn: 0.6667 0.3333 0.7299  1 O 1.90
Co: 0.6667 0.3333 0.2311  1 O 1.87
S: 0.0000 0.0000 0.2997  3 Co 2.40
S: 0.3333 0.6667 0.8057  3 Zn 2.43
O: 0.6667 0.3333 0.0694  1 Co 1.87
O: 0.6667 0.3333 0.5654  1 Zn 1.90